Model a:
The following is a PBE calculation of a relaxed AlTePt crystal, from Alexandria via LeMat-Bulk.

SG: No. 107
Total magnetization: 0.00 μB per cell
Density: 8.71 g/cm3

abc: 7.092 7.092 7.092
angles: 154.38 154.37 36.56
Atoms (fractional coordinates):
Te 0.669 0.669 0.000
Al 0.873 0.873 0.000
Pt 0.457 0.457 0.000

---

Model b:
The following is a PBE calculation of a relaxed AlTePt crystal, from Alexandria via LeMat-Bulk.

SG: No. 156
Total magnetization: 0.00 μB per cell
Density: 9.04 g/cm3

abc: 3.858 3.858 4.980
angles: 90.00 90.00 120.00
Atoms (fractional coordinates):
Te 0.667 0.333 0.631
Al 0.000 0.000 0.069
Pt 0.333 0.667 0.300

---

Structures ranked by computed energy, the most stable listed first: model a, model b.